Record 1
Material: CuSnAs2
Method: DFT, PBE-GGA
State: relaxed

For the density of states at the Fermi level, the calculation gives 3.5 states/eV/cell. Its total magnetization is 0.0 μB/cell. The calculation puts the formation enthalpy at 0 K at 0.015 eV per atom. Its crystal system is orthorhombic.

It has space group Pmn2_1 (No. 31), with a = 4.173 Å, b = 8.335 Å, c = 5.659 Å, α = 90.00°, β = 90.00° and γ = 90.00°. The distinct sites, in fractional coordinates, are Cu at (0.000, 0.115, 0.000), Sn at (0.000, 0.646, 0.043), As at (0.000, 0.352, 0.241) and As at (0.000, 0.912, 0.302).


Record 2
Material: Cu2Sn2As
Method: DFT, PBE-GGA
State: relaxed

For the density of states at the Fermi level, the calculation gives 5.5 states/eV/cell. Its total magnetization is 0.0 μB/cell. The calculation puts the formation enthalpy at 0 K at 0.193 eV per atom. Its crystal system is tetragonal. As for the polymorph energy (0 for the lowest one): 73 meV per atom.

It has space group I4/mmm (No. 139), with a = 3.557 Å, b = 3.557 Å, c = 15.626 Å, α = 90.00°, β = 90.00° and γ = 90.00°. The distinct sites, in fractional coordinates, are Cu at (0.000, 0.500, 0.250), Sn at (0.000, 0.000, 0.110) and As at (0.000, 0.000, 0.500).


Record 3
Material: CuSn4As6
Method: DFT, PBE-GGA
State: relaxed

For the density of states at the Fermi level, the calculation gives 18.6 states/eV/cell. Its total magnetization is 0.0 μB/cell. The calculation puts the formation enthalpy at 0 K at 0.034 eV per atom. Its crystal system is monoclinic.

It has space group Cc (No. 9), with a = 12.401 Å, b = 8.151 Å, c = 12.752 Å, α = 90.00°, β = 114.28° and γ = 90.00°. The distinct sites, in fractional coordinates, are Cu at (0.000, 0.027, 0.000), Sn at (0.055, 0.192, 0.197), Sn at (0.090, 0.461, 0.479), Sn at (0.243, 0.221, 0.809), Sn at (0.370, 0.166, 0.162), As at (0.080, 0.467, 0.688), As at (0.206, 0.071, 0.584), As at (0.249, 0.093, 0.397), As at (0.315, 0.416, 0.012), As at (0.432, 0.216, 0.392) and As at (0.466, 0.309, 0.861).


Record 4
Material: Cu2SnAs2
Method: DFT, PBE-GGA
State: relaxed

For the density of states at the Fermi level, the calculation gives 4.3 states/eV/cell. Its total magnetization is 0.0 μB/cell. The calculation puts the formation enthalpy at 0 K at 0.183 eV per atom. Its crystal system is tetragonal. As for the polymorph energy (0 for the lowest one): 97 meV per atom.

It has space group P4/mbm (No. 127), with a = 7.858 Å, b = 7.858 Å, c = 2.929 Å, α = 90.00°, β = 90.00° and γ = 90.00°. The distinct sites, in fractional coordinates, are Cu at (0.118, 0.382, 0.000), Sn at (0.000, 0.000, 0.500) and As at (0.169, 0.669, 0.500).


Record 5
Material: CuSnAs
Method: DFT, PBE-GGA
State: relaxed

For the density of states at the Fermi level, the calculation gives 3.0 states/eV/cell. Its total magnetization is 0.0 μB/cell. The calculation puts the formation enthalpy at 0 K at 0.082 eV per atom. Its crystal system is monoclinic. As for the polymorph energy (0 for the lowest one): 46 meV per atom.

It has space group P2_1/c (No. 14), with a = 6.080 Å, b = 6.694 Å, c = 6.803 Å, α = 90.00°, β = 105.62° and γ = 90.00°. The distinct sites, in fractional coordinates, are Cu at (0.233, 0.136, 0.237), Sn at (0.423, 0.716, 0.893) and As at (0.130, 0.044, 0.866).


Record 6
Material: Cu2SnAs
Method: DFT, PBE-GGA
State: relaxed

For the density of states at the Fermi level, the calculation gives 7.1 states/eV/cell. Its total magnetization is 0.0 μB/cell. The calculation puts the formation enthalpy at 0 K at 0.230 eV per atom. Its crystal system is cubic. As for the polymorph energy (0 for the lowest one): 122 meV per atom.

It has space group Fm-3m (No. 225), with a = 6.542 Å, b = 6.542 Å, c = 6.542 Å, α = 90.00°, β = 90.00° and γ = 90.00°. The distinct sites, in fractional coordinates, are Cu at (0.250, 0.250, 0.250), Sn at (0.000, 0.000, 0.000) and As at (0.000, 0.000, 0.500).


Record 7
Material: CuSnAs
Method: DFT, PBE-GGA
State: relaxed

For the density of states at the Fermi level, the calculation gives 0.8 states/eV/cell. Its total magnetization is 0.0 μB/cell. The calculation puts the formation enthalpy at 0 K at 0.036 eV per atom. Its crystal system is trigonal. As for the polymorph energy (0 for the lowest one): 0 meV per atom.

It has space group P3m1 (No. 156), with a = 4.1044 Å, b = 4.1044 Å, c = 4.3580 Å, α = 90.00°, β = 90.00° and γ = 120.00°. The distinct sites, in fractional coordinates, are Cu at (0.0000, 0.0000, 0.0000), Sn at (0.6667, 0.3333, 0.6203) and As at (0.3333, 0.6667, 0.1014).


Record 8
Material: CuSnAs
Method: DFT, PBE-GGA
State: relaxed

For the density of states at the Fermi level, the calculation gives 3.0 states/eV/cell. Its total magnetization is 0.0 μB/cell. The calculation puts the formation enthalpy at 0 K at 0.048 eV per atom. Its crystal system is cubic. As for the polymorph energy (0 for the lowest one): 13 meV per atom.

It has space group F-43m (No. 216), with a = 6.287 Å, b = 6.287 Å, c = 6.287 Å, α = 90.00°, β = 90.00° and γ = 90.00°. The distinct sites, in fractional coordinates, are Cu at (0.000, 0.000, 0.000), Sn at (0.250, 0.250, 0.750) and As at (0.250, 0.250, 0.250).